Record 1
A plane-wave DFT calculation with PBE was carried out for an optimized crystal structure of SrSc2Re.

The structure in extended XYZ format:
```
8
Lattice="-2.5419 -6.8169 2.3555 -0.3387 -2.3819 -7.2589 3.7763 -6.4220 -2.0971" Properties=species:S:1:pos:R:3 pbc="T T T"
Sc -1.4925 -9.0609 -2.9993
Sc 1.8365 -7.6712 -1.5989
Sc -1.3217 -7.8660 0.6287
Sc 0.5658 -11.0783 -0.4170
Re 0.0000 0.0000 0.0000
Re -0.1030 -8.9191 -1.0966
Sr 0.9986 -6.7016 -5.9038
Sr -1.4403 -4.5994 -2.4517
```

Properties
Energy above the most stable polymorph in this dataset in meV/atom: 799
Density in g/cm³: 3.73
Total DFT energy (no corrections) in eV per cell: -46.4
ΔE_f in eV per atom: 0.90
Size of the total moment in μB/atom: 0.000
Crystal system: tetragonal

---

Record 2
A plane-wave DFT calculation with PBE was carried out for an optimized crystal structure of SrScRe2.

The structure in extended XYZ format:
```
4
Lattice="-2.0647 -5.2332 1.2379 5.0899 0.6711 -2.6125 1.2329 0.0870 2.4244" Properties=species:S:1:pos:R:3 pbc="T T T"
Sc -0.4159 -2.5731 1.8311
Re 1.5126 -2.2810 -0.6873
Re 0.0000 0.0000 0.0000
Sr 3.1614 0.3791 -0.0940
```

Properties
Energy above the most stable polymorph in this dataset in meV/atom: 622
Density in g/cm³: 10.87
Total DFT energy (no corrections) in eV per cell: -29.4
ΔE_f in eV per atom: 0.89
Size of the total moment in μB/atom: 0.089
Crystal system: orthorhombic

---

Record 3
A plane-wave DFT calculation with PBE was carried out for an optimized crystal structure of SrScRe2.

The structure in extended XYZ format:
```
4
Lattice="-4.9437 -1.2220 2.6141 3.7566 -4.1202 -0.1678 0.9305 -0.0279 2.6476" Properties=species:S:1:pos:R:3 pbc="T T T"
Sr -2.0066 -0.6249 2.6309
Re 0.0000 0.0000 0.0000
Re 2.3435 -2.0740 1.2399
Sc -0.5936 -2.6711 1.2232
```

Properties
Energy above the most stable polymorph in this dataset in meV/atom: 589
Density in g/cm³: 11.03
Total DFT energy (no corrections) in eV per cell: -29.5
ΔE_f in eV per atom: 0.85
Size of the total moment in μB/atom: 0.000
Crystal system: monoclinic

---

Record 4
A plane-wave DFT calculation with PBE was carried out for an optimized crystal structure of SrSc2Re.

The structure in extended XYZ format:
```
4
Lattice="7.9682 0.0541 -0.0032 5.9432 5.3079 0.0032 -6.6474 -3.4809 2.6815" Properties=species:S:1:pos:R:3 pbc="T T T"
Re 4.3198 -0.3030 1.3392
Sc 3.2622 2.3065 1.3424
Sc 12.5104 4.8220 0.0000
Sr 8.0389 3.0985 0.0000
```

Properties
Energy above the most stable polymorph in this dataset in meV/atom: 252
Density in g/cm³: 5.36
Total DFT energy (no corrections) in eV per cell: -25.4
ΔE_f in eV per atom: 0.36
Size of the total moment in μB/atom: 0.000
Crystal system: orthorhombic

---

Record 5
A plane-wave DFT calculation with PBE was carried out for an optimized crystal structure of SrScRe2.

The structure in extended XYZ format:
```
8
Lattice="4.7174 0.0000 0.0000 0.0000 4.7174 0.0000 2.3587 2.3587 9.5349" Properties=species:S:1:pos:R:3 pbc="T T T"
Sc 2.3587 2.3587 0.0000
Sc 2.3587 4.7174 4.7675
Sr 4.7174 2.3587 4.7675
Sr 0.0000 0.0000 0.0000
Re 3.5380 4.3710 7.1512
Re 2.7051 1.1793 2.3837
Re 5.8967 5.0637 7.1512
Re 2.0123 3.5380 2.3837
```

Properties
Energy above the most stable polymorph in this dataset in meV/atom: 787
Density in g/cm³: 7.90
Total DFT energy (no corrections) in eV per cell: -57.4
ΔE_f in eV per atom: 1.05
Size of the total moment in μB/atom: 0.000
Crystal system: tetragonal

---

Record 6
A plane-wave DFT calculation with PBE was carried out for an optimized crystal structure of SrScRe2.

The structure in extended XYZ format:
```
4
Lattice="10.0031 -0.0200 -0.0117 9.5570 2.9539 -0.0117 9.5570 1.4335 2.5828" Properties=species:S:1:pos:R:3 pbc="T T T"
Re 28.8836 4.3324 2.5389
Re 14.7921 2.2188 1.3002
Sc 7.2793 1.0919 0.6398
Sr 21.8378 3.2756 1.9195
```

Properties
Energy above the most stable polymorph in this dataset in meV/atom: 597
Density in g/cm³: 10.87
Total DFT energy (no corrections) in eV per cell: -29.5
ΔE_f in eV per atom: 0.86
Size of the total moment in μB/atom: 0.001
Crystal system: trigonal

---

Record 7
A plane-wave DFT calculation with PBE was carried out for an optimized crystal structure of Sr2ScRe.

The structure in extended XYZ format:
```
4
Lattice="4.7617 0.0019 0.0020 3.4675 3.2635 0.0020 0.9172 0.3639 8.4654" Properties=species:S:1:pos:R:3 pbc="T T T"
Sr 8.2333 3.2670 0.6500
Sr 7.0372 2.7924 5.6517
Re 4.5020 1.7864 3.5265
Sc 2.1764 0.8636 2.8797
```

Properties
Energy above the most stable polymorph in this dataset in meV/atom: 156
Density in g/cm³: 5.13
Total DFT energy (no corrections) in eV per cell: -19.9
ΔE_f in eV per atom: 0.57
Size of the total moment in μB/atom: 0.000
Crystal system: monoclinic

---

Record 8
A plane-wave DFT calculation with PBE was carried out for an optimized crystal structure of SrSc2Re.

The structure in extended XYZ format:
```
4
Lattice="4.7406 0.0000 0.0000 0.0000 3.4878 0.1040 0.0000 1.5550 6.6163" Properties=species:S:1:pos:R:3 pbc="T T T"
Sr 0.0000 2.7308 3.6741
Sc 0.0000 4.3869 6.6038
Sc 2.3703 1.0635 0.9491
Re 2.3703 4.4260 5.5737
```

Properties
Energy above the most stable polymorph in this dataset in meV/atom: 276
Density in g/cm³: 5.56
Total DFT energy (no corrections) in eV per cell: -25.3
ΔE_f in eV per atom: 0.38
Size of the total moment in μB/atom: 0.000
Crystal system: monoclinic

---

Record 9
A plane-wave DFT calculation with PBE was carried out for an optimized crystal structure of SrSc2Re.

The structure in extended XYZ format:
```
4
Lattice="5.3033 -0.0860 -0.0375 0.8241 5.2396 0.0375 -2.4586 -3.2963 3.3502" Properties=species:S:1:pos:R:3 pbc="T T T"
Sc 5.8707 4.9376 0.0000
Sc 3.3205 2.7928 0.0000
Re 2.9542 -0.4027 1.6564
Sr 0.7146 2.2600 1.6938
```

Properties
Energy above the most stable polymorph in this dataset in meV/atom: 280
Density in g/cm³: 6.45
Total DFT energy (no corrections) in eV per cell: -25.3
ΔE_f in eV per atom: 0.38
Size of the total moment in μB/atom: 0.000
Crystal system: orthorhombic

---

Record 10
A plane-wave DFT calculation with PBE was carried out for an optimized crystal structure of Sr4ScRe.

The structure in extended XYZ format:
```
6
Lattice="0.0000 4.7683 4.7683 4.7683 0.0000 4.7683 4.7683 4.7683 0.0000" Properties=species:S:1:pos:R:3 pbc="T T T"
Sr 5.9533 5.9533 3.5833
Sr 3.5833 3.5833 3.5833
Sr 3.5833 5.9533 5.9533
Sr 5.9533 3.5833 5.9533
Sc 0.0000 0.0000 0.0000
Re 7.1524 7.1524 7.1524
```

Properties
Density in g/cm³: 4.45
Total DFT energy (no corrections) in eV per cell: -17.3
ΔE_f in eV per atom: 1.37
Size of the total moment in μB/atom: 0.204
Crystal system: cubic

---

Record 11
A plane-wave DFT calculation with PBE was carried out for an optimized crystal structure of Sr2ScRe.

The structure in extended XYZ format:
```
4
Lattice="3.6501 0.0000 0.0000 0.0000 3.6468 0.0268 0.0000 3.5740 9.1741" Properties=species:S:1:pos:R:3 pbc="T T T"
Sr 1.8250 1.7996 2.9908
Sr 0.0000 3.5789 8.6138
Sc 1.8250 5.4211 6.1941
Re 0.0000 3.6056 5.1768
```

Properties
Energy above the most stable polymorph in this dataset in meV/atom: 0
Density in g/cm³: 5.54
Total DFT energy (no corrections) in eV per cell: -20.5
ΔE_f in eV per atom: 0.41
Size of the total moment in μB/atom: 0.000
Crystal system: tetragonal

---

Record 12
A plane-wave DFT calculation with PBE was carried out for an optimized crystal structure of SrSc2Re.

The structure in extended XYZ format:
```
4
Lattice="-3.3307 1.1010 1.0434 -0.6185 -3.2844 1.4914 2.9553 2.5198 6.7748" Properties=species:S:1:pos:R:3 pbc="T T T"
Sc 2.8135 2.3989 6.4496
Sc -1.4678 -0.6596 2.4292
Sr 1.6086 1.3715 3.6875
Re 0.4849 1.0053 6.9055
```

Properties
Energy above the most stable polymorph in this dataset in meV/atom: 198
Density in g/cm³: 5.77
Total DFT energy (no corrections) in eV per cell: -25.6
ΔE_f in eV per atom: 0.30
Size of the total moment in μB/atom: 0.000
Crystal system: tetragonal

---

Record 13
A plane-wave DFT calculation with PBE was carried out for an optimized crystal structure of SrSc2Re.

The structure in extended XYZ format:
```
4
Lattice="-0.7728 4.8876 -0.9538 -3.6629 2.4883 2.4056 1.1652 3.4601 3.4736" Properties=species:S:1:pos:R:3 pbc="T T T"
Sr -2.4528 8.1270 3.6941
Sc 0.0000 0.0000 0.0000
Sc -0.8176 2.7090 1.2314
Re -1.6352 5.4180 2.4627
```

Properties
Energy above the most stable polymorph in this dataset in meV/atom: 538
Density in g/cm³: 6.67
Total DFT energy (no corrections) in eV per cell: -24.2
ΔE_f in eV per atom: 0.64
Size of the total moment in μB/atom: 0.001
Crystal system: cubic

---

Record 14
A plane-wave DFT calculation with PBE was carried out for an optimized crystal structure of SrScRe2.

The structure in extended XYZ format:
```
4
Lattice="-0.3861 -2.6294 0.8781 1.5851 -0.9367 -2.1081 8.0151 0.7278 5.7032" Properties=species:S:1:pos:R:3 pbc="T T T"
Sc 2.6033 -1.6011 0.8108
Sr 6.6109 -1.2373 3.6624
Re 3.8218 0.3470 2.7194
Re 0.1858 0.0169 0.1322
```

Properties
Energy above the most stable polymorph in this dataset in meV/atom: 493
Density in g/cm³: 10.85
Total DFT energy (no corrections) in eV per cell: -29.9
ΔE_f in eV per atom: 0.76
Size of the total moment in μB/atom: 0.000
Crystal system: tetragonal

---

Record 15
A plane-wave DFT calculation with PBE was carried out for an optimized crystal structure of SrScRe2.

The structure in extended XYZ format:
```
4
Lattice="-0.9029 -4.6808 0.7329 -4.4013 -1.7717 -0.8676 -0.7204 -2.9345 -3.7593" Properties=species:S:1:pos:R:3 pbc="T T T"
Re -1.5062 -2.3468 -0.9735
Re -4.5185 -7.0403 -2.9205
Sr -3.0123 -4.6935 -1.9470
Sc 0.0000 0.0000 0.0000
```

Properties
Energy above the most stable polymorph in this dataset in meV/atom: 861
Density in g/cm³: 10.57
Total DFT energy (no corrections) in eV per cell: -28.4
ΔE_f in eV per atom: 1.13
Size of the total moment in μB/atom: 0.000
Crystal system: cubic